# TbYTh2

An optimized crystal structure of TbYTh2 (GGA-PBE, Alexandria).

Cell and atoms, written as POSCAR:
```
TbYTh2
1.0
-5.321 -5.359 6.308
-1.046 0.219 -9.781
2.668 -2.339 -0.102
Y Th Tb
2 4 2
direct
0.911 0.089 0.250
0.089 0.911 0.750
0.424 0.256 0.459
0.576 0.744 0.541
0.256 0.424 0.959
0.744 0.576 0.041
0.500 0.000 0.000
0.000 0.500 0.500
```

SG: No. 15
Excess energy over the best structure of this formula in the dataset: 263 meV per atom



# Tb4Y15Th

An optimized crystal structure of Tb4Y15Th (GGA-PBE, Alexandria).

Cell and atoms, written as POSCAR:
```
Tb4Y15Th
1.0
-4.069 2.786 1.135
0.934 -0.645 4.931
14.235 20.786 0.020
Y Tb Th
15 4 1
direct
0.500 0.000 0.300
0.500 0.000 0.700
0.500 0.500 0.600
0.500 0.500 0.400
0.000 0.500 0.700
0.000 0.500 0.901
0.500 0.500 0.201
0.000 0.500 0.300
0.500 0.500 0.000
0.500 0.000 0.500
0.000 0.500 0.099
0.500 0.000 0.901
0.500 0.000 0.099
0.000 0.500 0.500
0.500 0.500 0.799
0.000 0.000 0.800
0.000 0.000 0.200
0.000 0.000 0.400
0.000 0.000 0.600
0.000 0.000 0.000
```

SG: No. 123



# Tb8Y2Th3

An optimized crystal structure of Tb8Y2Th3 (GGA-PBE, Alexandria).

Cell and atoms, written as POSCAR:
```
Tb8Y2Th3
1.0
5.473 -0.131 -1.358
-0.548 6.163 -2.802
0.090 1.667 11.880
Tb Th Y
8 3 2
direct
0.318 0.819 0.637
0.150 0.411 0.299
0.682 0.181 0.363
0.425 0.425 0.850
0.850 0.112 0.701
0.575 0.575 0.150
0.850 0.589 0.701
0.150 0.888 0.299
0.000 0.266 0.000
0.500 0.000 0.000
0.000 0.734 0.000
0.724 0.724 0.448
0.276 0.276 0.552
```

SG: No. 12
Excess energy over the best structure of this formula in the dataset: 0 meV per atom



# TbYTh2

An optimized crystal structure of TbYTh2 (GGA-PBE, Alexandria).

Cell and atoms, written as POSCAR:
```
TbYTh2
1.0
-0.168 -3.137 -1.717
2.016 -2.749 1.093
-7.852 -5.368 6.844
Tb Th Y
1 2 1
direct
0.000 0.000 0.000
0.750 0.750 0.751
0.250 0.250 0.249
0.500 0.500 0.500
```

SG: No. 166
Excess energy over the best structure of this formula in the dataset: 5 meV per atom



| no. | formation enthalpy at 0 K (eV/atom) | total magnetization (μB per atom) |
| --- | --- | --- |
| 1 | 0.293 | 0.000 |
| 2 | 0.027 | 0.000 |
| 3 | 0.163 | 0.000 |
| 4 | 0.035 | 0.000 |